Entry 1:
Material: TbTmTaN3
Method: DFT, PBE
State: optimized geometry

a = 7.0877 Å, b = 3.3687 Å, c = 7.9503 Å
α = 90.00°, β = 90.96°, γ = 90.00°
Closest atoms and distances in Å follow each position.
Space group P2_1/m (No. 11)
One atom of each set of equivalent atoms:
Tb 0.1463 0.2500 0.1598 (multiplicity 2)  5 N 2.40-2.60
Tm 0.3898 0.7500 0.8517 (multiplicity 2)  3 N 2.17-2.34
Ta 0.1310 0.2500 0.5777 (multiplicity 2)  4 N 2.02-2.21
N 0.1322 0.2500 0.8365 (multiplicity 2)  1 Ta 2.06
N 0.1802 0.7500 0.4447 (multiplicity 2)  3 Ta 2.02-2.21
N 0.3827 0.7500 0.1239 (multiplicity 2)  3 Tm 2.17-2.34, 2 Tb 2.40

Formation energy without anion corrections   -1160 meV/atom
Crystal system   monoclinic
Volume   15.82 Å³ per atom
Calculated density   9.6 g/cm³
Electronic total energy   -105.78 eV for the cell shown

***

Entry 2:
Material: Tb2TmTaN4
Method: DFT, PBE
State: optimized geometry

a = 5.7940 Å, b = 3.3369 Å, c = 5.8263 Å
α = 90.00°, β = 109.05°, γ = 90.00°
Closest atoms and distances in Å follow each position.
Space group P2/m (No. 10)
One atom of each set of equivalent atoms:
Tb 0.0000 0.0000 0.0000 (multiplicity 1)  6 N 2.49-2.52
Tb 0.5000 0.5000 0.0000 (multiplicity 1)  6 N 2.40
Tm 0.0000 0.5000 0.5000 (multiplicity 1)  6 N 2.35
Ta 0.5000 0.0000 0.5000 (multiplicity 1)  6 N 2.21-2.26
N 0.2610 0.0000 0.7288 (multiplicity 2)  1 Ta 2.21, 2 Tm 2.35, 2 Tb 2.40
N 0.2713 0.5000 0.2763 (multiplicity 2)  2 Ta 2.26, 1 Tm 2.35, 3 Tb 2.40-2.49

Formation energy without anion corrections   -1564 meV/atom
Crystal system   monoclinic
Volume   13.31 Å³ per atom
Calculated density   11.3 g/cm³
Electronic total energy   -71.40 eV for the cell shown